The following is a DFT calculation (GGA+U) of crystalline BaCrClO2 at its relaxed geometry.

Computed properties:
Symmetry: P2_1/m, No. 11
Energy (eV/atom): -6.319

abc: 7.728 4.140 7.921
angles: 90.00 117.27 90.00
Element x y z (fractional)
Ba (0.211, 0.250, 0.219)
Ba (0.789, 0.750, 0.781)
Cr (0.089, 0.250, 0.655)
Cr (0.911, 0.750, 0.345)
Cl (0.431, 0.250, 0.682)
Cl (0.569, 0.750, 0.318)
O (0.008, 0.250, 0.842)
O (0.048, 0.750, 0.618)
O (0.952, 0.250, 0.382)
O (0.992, 0.750, 0.158)